## i
The following is a PBE-GGA calculation of La4Tb3Nd2 after structural relaxation, from the Alexandria database.

Values from the calculation:
D(E_F)   1.812 states/eV/atom

a = 5.2077 Å, b = 6.3428 Å, c = 11.0168 Å
α = 73.60°, β = 89.97°, γ = 65.80°
Last column: nearest neighbours and their distance in Å.
Fractional positions:
La1 0.6667 0.6668 0.8889  4 Tb 3.67-3.70, 4 Nd 3.67-3.70, 4 La 3.68-3.69
La2 0.0010 0.9981 0.3334  3 Nd 3.65-3.66, 6 Tb 3.66-3.68, 3 La 3.68-3.69
La3 0.9990 0.0019 0.6666  3 Nd 3.65-3.66, 6 Tb 3.66-3.68, 3 La 3.68-3.69
La4 0.3333 0.3332 0.1111  4 Tb 3.67-3.70, 4 Nd 3.67-3.70, 4 La 3.68-3.69
Tb1 0.3350 0.3300 0.4476  3 Nd 3.62-3.69, 3 Tb 3.63-3.66, 6 La 3.66-3.70
Tb2 0.0000 0.0000 0.0000  8 La 3.67, 4 Nd 3.71
Tb3 0.6650 0.6700 0.5524  3 Nd 3.62-3.69, 3 Tb 3.63-3.66, 6 La 3.66-3.70
Nd1 0.3311 0.3378 0.7750  5 Tb 3.62-3.71, 7 La 3.65-3.70
Nd2 0.6689 0.6622 0.2250  5 Tb 3.62-3.71, 7 La 3.65-3.70



## ii
The following is a PBE-GGA calculation of La4Tb3Nd2 after structural relaxation, from the Alexandria database.

Values from the calculation:
D(E_F)   1.933 states/eV/atom

a = 3.6568 Å, b = 3.6568 Å, c = 27.5046 Å
α = 90.00°, β = 90.00°, γ = 120.00°
Last column: nearest neighbours and their distance in Å.
Fractional positions:
La1 0.0000 0.0000 0.5469  3 Tb 3.63, 9 La 3.66-3.84
La2 0.6667 0.3333 0.4303  3 Tb 3.65, 9 La 3.66-3.84
La3 0.6667 0.3333 0.2167  3 Tb 3.59, 1 Nd 3.60, 6 La 3.66
La4 0.0000 0.0000 0.7622  3 Tb 3.64, 6 La 3.66, 3 Nd 3.78
Tb1 0.0000 0.0000 0.9826  6 Nd 3.54-3.61, 6 Tb 3.66
Tb2 0.0000 0.0000 0.3221  6 La 3.59-3.65, 6 Tb 3.66
Tb3 0.6667 0.3333 0.6542  6 La 3.63-3.64, 6 Tb 3.66
Nd1 0.6667 0.3333 0.0860  3 Tb 3.54, 1 La 3.60, 6 Nd 3.66
Nd2 0.6667 0.3333 0.8761  3 Tb 3.61, 6 Nd 3.66, 3 La 3.78



Stability check: which of them is most stable? i.



## i
The following is a PBE-GGA calculation of La7Tb3Nd after structural relaxation, from the Alexandria database.

Values from the calculation:
D(E_F)   1.517 states/eV/atom

a = 8.6836 Å, b = 7.3297 Å, c = 7.3297 Å
α = 120.00°, β = 90.00°, γ = 90.00°
Last column: nearest neighbours and their distance in Å.
Fractional positions:
La1 0.1016 0.1644 0.8356  2 Tb 3.49, 8 La 3.62-3.78, 1 Nd 3.62
La2 0.1016 0.1644 0.3288  2 Tb 3.49, 8 La 3.62-3.78, 1 Nd 3.62
La3 0.1313 0.6667 0.3333  9 La 3.60-3.67, 3 Tb 3.69
La4 0.4639 0.8354 0.1646  2 Tb 3.49, 7 La 3.60-3.78, 2 Nd 3.67
La5 0.4639 0.3292 0.1646  2 Tb 3.49, 7 La 3.60-3.78, 2 Nd 3.67
La6 0.4639 0.8354 0.6708  2 Tb 3.49, 7 La 3.60-3.78, 2 Nd 3.67
La7 0.1016 0.6712 0.8356  2 Tb 3.49, 8 La 3.62-3.78, 1 Nd 3.62
Tb1 0.7831 0.5000 0.5000  5 La 3.49-3.69, 4 Tb 3.66-3.67, 1 Nd 3.67
Tb2 0.7831 0.5000 0.9999  5 La 3.49-3.69, 4 Tb 3.66-3.67, 1 Nd 3.67
Tb3 0.7831 0.0001 0.5000  5 La 3.49-3.69, 4 Tb 3.66-3.67, 1 Nd 3.67
Nd1 0.4380 0.3333 0.6667  9 La 3.62-3.67, 3 Tb 3.67



## ii
The following is a PBE-GGA calculation of La7Tb3Nd after structural relaxation, from the Alexandria database.

Values from the calculation:
D(E_F)   1.511 states/eV/atom

a = 6.5210 Å, b = 7.8822 Å, c = 7.8757 Å
α = 82.14°, β = 94.69°, γ = 94.73°
Last column: nearest neighbours and their distance in Å.
Fractional positions:
La1 0.2118 0.2356 0.2357  5 La 3.34-3.64, 3 Tb 3.45-3.54, 1 Nd 3.48
La2 0.2653 0.9344 0.5744  4 La 3.34-3.73, 3 Tb 3.55-3.67
La3 0.7347 0.4254 0.0653  4 La 3.34-3.73, 3 Tb 3.55-3.67
La4 0.2653 0.5746 0.9347  4 La 3.34-3.73, 3 Tb 3.55-3.67
La5 0.0000 0.5000 0.5000  2 Nd 3.26, 2 Tb 3.44, 2 La 3.57
La6 0.7347 0.0656 0.4256  4 La 3.34-3.73, 3 Tb 3.55-3.67
La7 0.7882 0.7644 0.7643  5 La 3.34-3.64, 3 Tb 3.45-3.54, 1 Nd 3.48
Tb1 0.9997 0.8321 0.1679  7 La 3.44-3.67, 3 Tb 3.48-3.70
Tb2 0.5000 0.0000 0.0000  6 La 3.54-3.65, 4 Tb 3.69-3.70
Tb3 0.0003 0.1679 0.8321  7 La 3.44-3.67, 3 Tb 3.48-3.70
Nd1 0.5000 0.5000 0.5000  4 La 3.26-3.48



Stability check: which of them is most stable? i.



## i
The following is a PBE-GGA calculation of LaTb2Nd7 after structural relaxation, from the Alexandria database.

Values from the calculation:
D(E_F)   1.575 states/eV/atom

a = 6.7795 Å, b = 9.3023 Å, c = 6.6228 Å
α = 101.98°, β = 96.61°, γ = 117.51°
Last column: nearest neighbours and their distance in Å.
Fractional positions:
La1 0.0000 0.0000 0.0000  2 Tb 3.46, 4 Nd 3.62-3.73
Tb1 0.7801 0.6378 0.5744  1 Tb 3.33, 7 Nd 3.39-3.71, 1 La 3.46
Tb2 0.2199 0.3622 0.4256  1 Tb 3.33, 7 Nd 3.39-3.71, 1 La 3.46
Nd1 0.1160 0.6573 0.2269  6 Nd 3.33-3.72, 2 Tb 3.39-3.58
Nd2 0.8840 0.3427 0.7731  6 Nd 3.33-3.72, 2 Tb 3.39-3.58
Nd3 0.3647 0.7697 0.7969  6 Nd 3.49-3.75, 3 Tb 3.58-3.87, 1 La 3.73
Nd4 0.6353 0.2303 0.2031  6 Nd 3.49-3.75, 3 Tb 3.58-3.87, 1 La 3.73
Nd5 0.7029 0.9398 0.4222  1 Tb 3.40, 6 Nd 3.49-3.67, 1 La 3.62
Nd6 0.2971 0.0602 0.5778  1 Tb 3.40, 6 Nd 3.49-3.67, 1 La 3.62
Nd7 0.5000 0.5000 0.0000  6 Nd 3.49-3.83, 4 Tb 3.70-3.71



## ii
The following is a PBE-GGA calculation of LaTb2Nd7 after structural relaxation, from the Alexandria database.

Values from the calculation:
D(E_F)   1.465 states/eV/atom

a = 5.7757 Å, b = 9.3069 Å, c = 9.3070 Å
α = 122.32°, β = 90.00°, γ = 90.00°
Last column: nearest neighbours and their distance in Å.
Fractional positions:
La1 0.0000 0.0000 0.0000  10 Nd 3.73-3.82
Tb1 0.5000 0.7032 0.2968  7 Nd 3.09-3.35
Tb2 0.5000 0.2968 0.7032  7 Nd 3.09-3.35
Nd1 0.0000 0.7711 0.2289  2 Tb 3.09
Nd2 0.0000 0.2289 0.7711  2 Tb 3.09
Nd3 0.5000 0.0626 0.2963  2 Tb 3.20-3.35, 2 Nd 3.22-3.45
Nd4 0.5000 0.9374 0.7037  2 Tb 3.20-3.35, 2 Nd 3.22-3.45
Nd5 0.5000 0.2963 0.0626  2 Tb 3.20-3.35, 2 Nd 3.22-3.45
Nd6 0.5000 0.7037 0.9374  2 Tb 3.20-3.35, 2 Nd 3.22-3.45
Nd7 0.5000 0.5000 0.5000  2 Tb 3.31, 4 Nd 3.45



Stability check: which of them is most stable? i.